Compound: BaMn2Mo
Source: Alexandria
Functional: PBE-GGA
Structure: optimized geometry

Computed properties:
Fermi-level density of states   9.628 states/eV per cell
Formation energy from the elements   764 meV per atom
Theoretical density   6.09 g/cm3
ΔE to the lowest computed polymorph   0.84 eV/f.u.
E_tot   -56.07 eV/cell

a b c (Å): 4.322 3.298 13.117
angles (deg): 90.00 90.00 90.00
Space group Amm2 (No. 38)
Inequivalent atoms, fractional coordinates:
Ba  0.000  0.000  0.000
Mn  0.000  0.000  0.752
Mn  0.500  0.000  0.646
Mo  0.500  0.000  0.272